# PaMn2AgO8

A relaxed PaMn2AgO8 crystal (PBE+U, Alexandria).

Structure (CIF):
```
data_PaMn2AgO8
_space_group_name_H-M_alt 'I -4'
_space_group_IT_number 82
_cell_length_a 5.1421
_cell_length_b 5.1421
_cell_length_c 11.6585
_cell_angle_alpha 90.00
_cell_angle_beta 90.00
_cell_angle_gamma 90.00
loop_
_space_group_symop_operation_xyz
'x,y,z'
'y,-x,-z'
'-x,-y,z'
'-y,x,-z'
'x+1/2,y+1/2,z+1/2'
'y+1/2,-x+1/2,-z+1/2'
'-x+1/2,-y+1/2,z+1/2'
'-y+1/2,x+1/2,-z+1/2'
loop_
_atom_site_label
_atom_site_type_symbol
_atom_site_fract_x
_atom_site_fract_y
_atom_site_fract_z
_atom_site_occupancy
Pa1 Pa 0.0000 0.0000 0.0000 1
Mn1 Mn 0.0000 0.0000 0.5000 1
Mn2 Mn 0.0000 0.5000 0.2500 1
Ag1 Ag 0.0000 0.5000 0.7500 1
O1 O 0.1530 0.7352 0.1724 1
O2 O 0.1823 0.2799 0.5620 1
```

Output
The density is 6.214 g cm⁻³. The density of states at the Fermi level comes out at 10.3 states/eV/cell. The total DFT energy (no corrections) is -7.02 eV per atom.